(1)
First-principles (PBE) data for a relaxed structure of KMo2Au, as listed in Alexandria via LeMat-Bulk.

Properties
E, eV per atom: -5.9813
Density of states at the Fermi level, states/eV per cell: 3.4
ΔE_f, eV per atom: 0.5279
Space group: No. 99
Polymorph energy (0 for the lowest one), eV/atom: 0.019
ρ, Mg/m³: 7.914

Lattice parameters (Å, degrees): 3.228 3.228 8.617 90.00 90.00 90.00
Atoms (fractional coordinates):
K 0.000 0.000 0.000
Mo 0.000 0.000 0.489
Mo 0.500 0.500 0.349
Au 0.500 0.500 0.704

=====

(2)
First-principles (PBE) data for a relaxed structure of CaSe2Cl, as listed in Alexandria via LeMat-Bulk.

Properties
E, eV per atom: -3.6915
Density of states at the Fermi level, states/eV per cell: 4.6
Space group: No. 65
Polymorph energy (0 for the lowest one), eV/atom: 0.298
ρ, Mg/m³: 3.753

Lattice parameters (Å, degrees): 4.221 4.221 5.798 90.00 90.00 90.08
Atoms (fractional coordinates):
Ca 0.000 0.000 0.000
Se 0.500 0.500 0.203
Se 0.500 0.500 0.797
Cl 0.000 0.000 0.500

=====

(3)
First-principles (PBE) data for a relaxed structure of BaO2F, as listed in Alexandria via LeMat-Bulk.

Properties
E, eV per atom: -5.4849
Density of states at the Fermi level, states/eV per cell: 1.8
Space group: No. 8
Polymorph energy (0 for the lowest one), eV/atom: 0.000
ρ, Mg/m³: 4.707

Lattice parameters (Å, degrees): 4.294 4.294 4.300 111.15 111.15 68.65
Atoms (fractional coordinates):
Ba 0.000 0.000 0.000
O 0.281 0.281 0.717
O 0.419 0.419 0.578
F 0.732 0.732 0.263

=====

(4)
First-principles (PBE) data for a relaxed structure of ScMnSi2, as listed in Alexandria via LeMat-Bulk.

Properties
E, eV per atom: -6.7816
Density of states at the Fermi level, states/eV per cell: 1.7
Space group: No. 225
ρ, Mg/m³: 4.623

Lattice parameters (Å, degrees): 4.296 4.296 4.296 60.00 60.00 60.00
Atoms (fractional coordinates):
Sc 0.000 0.000 0.000
Mn 0.500 0.500 0.500
Si 0.250 0.250 0.250
Si 0.750 0.750 0.750